# 1
This record from Alexandria describes crystalline Na3Zn9Pd2 at its relaxed geometry. The functional is PBE-GGA.

## Properties
The space group is Immm (71). The final energy comes out at -1.991 eV per atom. The density of states at the Fermi level is 5.0 states/eV/cell. Its formation energy is -2.060 eV per formula unit.

abc: 4.274 8.200 8.200
angles: 67.61 74.89 74.89
Fractional coordinates of all 14 atoms:
Na  0.000  0.000  0.000
Na  0.696  0.304  0.304
Na  0.304  0.696  0.696
Zn  0.000  0.500  0.500
Zn  0.672  0.973  0.684
Zn  0.328  0.027  0.316
Zn  0.672  0.684  0.973
Zn  0.328  0.316  0.027
Zn  0.876  0.843  0.405
Zn  0.124  0.157  0.595
Zn  0.876  0.405  0.843
Zn  0.124  0.595  0.157
Pd  0.500  0.310  0.690
Pd  0.500  0.690  0.310

---

# 2
This record from Alexandria describes crystalline La4TbPr7 at its relaxed geometry. The functional is PBE-GGA.

## Properties
The space group is C2/m (12). The calculation puts the relative energy among the computed polymorphs at 0.205 eV/atom. The final energy comes out at -4.599 eV per atom. The density of states at the Fermi level is 21.0 states/eV/cell. Its formation energy is 2.612 eV per formula unit.

abc: 6.204 12.128 6.904
angles: 83.83 63.30 75.18
Fractional coordinates of all 12 atoms:
La  0.641  0.222  0.495
La  0.359  0.778  0.505
La  0.773  0.670  0.784
La  0.227  0.330  0.216
Tb  0.000  0.000  0.000
Pr  0.788  0.922  0.502
Pr  0.212  0.078  0.498
Pr  0.067  0.687  0.179
Pr  0.933  0.313  0.821
Pr  0.368  0.498  0.766
Pr  0.500  0.000  0.000
Pr  0.632  0.502  0.234